Entry one
Compound: Cd2Ag2Sn
Source: Alexandria
Functional: PBE
Structure: relaxed Values from VASP.

Output
DOS(E_F) (states/eV/cell): 2.56
Crystal system: triclinic
SG: P-1, No. 2

```
&SYSTEM
  ibrav = 0, nat = 10, ntyp = 3
/
ATOMIC_SPECIES
Ag 107.87 Ag.upf
Cd 112.41 Cd.upf
Sn 118.71 Sn.upf
ATOMIC_POSITIONS angstrom
Ag -0.549 3.414 -1.582
Ag 3.556 1.889 6.951
Ag 1.705 4.663 1.895
Ag 1.302 0.641 3.474
Cd 2.674 3.200 4.420
Cd -0.332 3.196 3.656
Cd 3.339 2.108 1.713
Cd 0.333 2.103 0.949
Sn 0.421 1.736 6.281
Sn 2.586 3.567 -0.912
CELL_PARAMETERS angstrom
5.971 0.343 -0.339
-2.590 3.920 -2.343
-0.374 1.041 8.051
```


Entry two
Compound: Cd2Ag2Sn
Source: Alexandria
Functional: PBE
Structure: relaxed Values from VASP.

Output
DOS(E_F) (states/eV/cell): 1.96
Crystal system: monoclinic
SG: C2/m, No. 12

```
&SYSTEM
  ibrav = 0, nat = 5, ntyp = 3
/
ATOMIC_SPECIES
Ag 107.87 Ag.upf
Cd 112.41 Cd.upf
Sn 118.71 Sn.upf
ATOMIC_POSITIONS angstrom
Ag 2.944 1.687 3.587
Ag 0.363 1.419 2.454
Cd 1.285 -0.747 4.405
Cd 2.022 3.853 1.636
Sn 0.000 0.000 0.000
CELL_PARAMETERS angstrom
-0.403 4.794 -0.258
-1.532 -2.244 3.978
5.242 0.556 2.320
```


Entry three
Compound: Cd2Ag2Sn
Source: Alexandria
Functional: PBE
Structure: relaxed Values from VASP.

Output
DOS(E_F) (states/eV/cell): 1.53
Crystal system: tetragonal
SG: I4/mmm, No. 139

```
&SYSTEM
  ibrav = 0, nat = 5, ntyp = 3
/
ATOMIC_SPECIES
Ag 107.87 Ag.upf
Cd 112.41 Cd.upf
Sn 118.71 Sn.upf
ATOMIC_POSITIONS angstrom
Ag 4.053 4.053 5.580
Ag 2.026 2.026 1.366
Cd 2.026 4.053 3.473
Cd 4.053 2.026 3.473
Sn 0.000 0.000 0.000
CELL_PARAMETERS angstrom
4.053 0.000 0.000
0.000 4.053 0.000
2.026 2.026 6.946
```


Which one sits at the bottom of the stability order? entry two does.


Entry one
Compound: Cd2AgSn2
Source: Alexandria
Functional: PBE
Structure: relaxed Values from VASP.

Output
DOS(E_F) (states/eV/cell): 4.03
Crystal system: tetragonal
SG: P4/mbm, No. 127

```
&SYSTEM
  ibrav = 0, nat = 10, ntyp = 3
/
ATOMIC_SPECIES
Ag 107.87 Ag.upf
Sn 118.71 Sn.upf
Cd 112.41 Cd.upf
ATOMIC_POSITIONS angstrom
Ag -2.725 -0.643 -4.467
Ag 0.000 0.000 0.000
Sn -2.464 1.781 -1.864
Sn -6.078 -0.201 -5.596
Sn -5.142 -1.098 -1.885
Sn -3.401 2.678 -5.575
Cd -4.643 -2.779 -4.340
Cd -3.510 -0.098 -7.177
Cd -0.806 1.492 -4.594
Cd -1.939 -1.189 -1.757
CELL_PARAMETERS angstrom
-0.071 3.349 -6.661
-5.379 -4.635 -2.273
-3.094 2.867 1.474
```


Entry two
Compound: Cd2AgSn2
Source: Alexandria
Functional: PBE
Structure: relaxed Values from VASP.

Output
DOS(E_F) (states/eV/cell): 3.83
Crystal system: tetragonal
SG: P4/mbm, No. 127

```
&SYSTEM
  ibrav = 0, nat = 10, ntyp = 3
/
ATOMIC_SPECIES
Cd 112.41 Cd.upf
Sn 118.71 Sn.upf
Ag 107.87 Ag.upf
ATOMIC_POSITIONS angstrom
Cd 4.927 6.220 2.320
Cd 1.211 4.927 2.320
Cd 6.220 2.504 2.320
Cd 2.504 1.211 2.320
Sn 2.614 6.329 0.000
Sn 4.817 1.102 0.000
Sn 6.329 4.817 0.000
Sn 1.102 2.614 0.000
Ag 0.000 0.000 0.000
Ag 3.716 3.716 0.000
CELL_PARAMETERS angstrom
7.431 0.000 0.000
0.000 7.431 0.000
0.000 0.000 4.639
```


Which one sits at the bottom of the stability order? entry one does.


Entry one
Compound: Cd2AgSn2
Source: Alexandria
Functional: PBE
Structure: relaxed Values from VASP.

Output
DOS(E_F) (states/eV/cell): 3.58
Crystal system: monoclinic
SG: C2/m, No. 12

```
&SYSTEM
  ibrav = 0, nat = 10, ntyp = 3
/
ATOMIC_SPECIES
Cd 112.41 Cd.upf
Sn 118.71 Sn.upf
Ag 107.87 Ag.upf
ATOMIC_POSITIONS angstrom
Cd 0.671 0.000 8.798
Cd -0.082 0.000 5.800
Cd 3.995 0.000 1.619
Cd 4.748 0.000 4.617
Sn 2.666 1.658 6.784
Sn 2.000 1.658 3.632
Sn 4.703 3.469 4.580
Sn 5.368 3.469 7.733
Ag 5.405 2.570 1.896
Ag 2.703 2.557 0.948
CELL_PARAMETERS angstrom
5.405 0.000 1.896
2.703 5.128 0.948
-0.739 0.000 8.520
```


Entry two
Compound: Cd2AgSn2
Source: Alexandria
Functional: PBE
Structure: relaxed Values from VASP.

Output
DOS(E_F) (states/eV/cell): 2.28
Crystal system: tetragonal
SG: I4/mmm, No. 139

```
&SYSTEM
  ibrav = 0, nat = 5, ntyp = 3
/
ATOMIC_SPECIES
Cd 112.41 Cd.upf
Sn 118.71 Sn.upf
Ag 107.87 Ag.upf
ATOMIC_POSITIONS angstrom
Cd 2.461 -5.484 0.458
Cd 2.652 -4.889 -2.326
Sn 4.499 -7.259 -1.244
Sn 0.614 -3.113 -0.624
Ag 0.000 0.000 0.000
CELL_PARAMETERS angstrom
-1.029 -3.250 2.158
-0.646 -2.059 -3.409
6.788 -5.063 -0.617
```


Entry three
Compound: Cd2AgSn2
Source: Alexandria
Functional: PBE
Structure: relaxed Values from VASP.

Output
DOS(E_F) (states/eV/cell): 1.83
Crystal system: tetragonal
SG: I4/mmm, No. 139

```
&SYSTEM
  ibrav = 0, nat = 5, ntyp = 3
/
ATOMIC_SPECIES
Cd 112.41 Cd.upf
Sn 118.71 Sn.upf
Ag 107.87 Ag.upf
ATOMIC_POSITIONS angstrom
Cd 2.125 2.125 1.365
Cd 4.249 4.249 5.988
Sn 2.125 4.249 3.676
Sn 4.249 2.125 3.676
Ag 0.000 0.000 0.000
CELL_PARAMETERS angstrom
4.249 0.000 0.000
0.000 4.249 0.000
2.125 2.125 7.353
```


Which one sits at the bottom of the stability order? entry three does.


Entry one
Compound: Cd6AgSn
Source: Alexandria
Functional: PBE
Structure: relaxed Values from VASP.

Output
DOS(E_F) (states/eV/cell): 3.46
Crystal system: tetragonal
SG: P4/mmm, No. 123

```
&SYSTEM
  ibrav = 0, nat = 8, ntyp = 3
/
ATOMIC_SPECIES
Cd 112.41 Cd.upf
Ag 107.87 Ag.upf
Sn 118.71 Sn.upf
ATOMIC_POSITIONS angstrom
Cd 2.237 2.237 4.493
Cd 0.000 2.237 6.583
Cd 2.237 2.237 0.000
Cd 2.237 0.000 6.583
Cd 0.000 2.237 2.403
Cd 2.237 0.000 2.403
Ag 0.000 0.000 4.493
Sn 0.000 0.000 0.000
CELL_PARAMETERS angstrom
4.474 0.000 0.000
0.000 4.474 0.000
0.000 0.000 8.985
```


Entry two
Compound: Cd6AgSn
Source: Alexandria
Functional: PBE
Structure: relaxed Values from VASP.

Output
DOS(E_F) (states/eV/cell): 2.45
Crystal system: monoclinic
SG: C2/m, No. 12

```
&SYSTEM
  ibrav = 0, nat = 8, ntyp = 3
/
ATOMIC_SPECIES
Ag 107.87 Ag.upf
Sn 118.71 Sn.upf
Cd 112.41 Cd.upf
ATOMIC_POSITIONS angstrom
Ag 0.000 0.000 0.000
Sn -0.303 2.728 4.861
Cd -1.709 3.333 7.663
Cd -1.842 5.597 5.350
Cd -3.040 3.108 3.261
Cd -2.906 0.844 5.575
Cd -3.289 6.031 8.149
Cd -1.460 0.409 2.775
CELL_PARAMETERS angstrom
-4.142 0.985 1.203
-1.318 -1.724 5.012
0.711 7.180 4.710
```


Which one sits at the bottom of the stability order? entry one does.


Entry one
Compound: CdAg8Sn2
Source: Alexandria
Functional: PBE
Structure: relaxed Values from VASP.

Output
DOS(E_F) (states/eV/cell): 3.22
Crystal system: monoclinic
SG: C2/m, No. 12

```
&SYSTEM
  ibrav = 0, nat = 11, ntyp = 3
/
ATOMIC_SPECIES
Ag 107.87 Ag.upf
Cd 112.41 Cd.upf
Sn 118.71 Sn.upf
ATOMIC_POSITIONS angstrom
Ag -2.176 -2.867 -0.555
Ag -2.256 -0.600 4.425
Ag -2.631 -3.626 4.865
Ag -3.960 -5.259 2.752
Ag 0.135 -4.722 -0.744
Ag -0.846 -1.234 1.558
Ag -2.551 -5.894 -0.115
Ag -4.941 -1.771 5.055
Cd -1.840 0.093 -0.925
Sn -1.183 -4.251 1.924
Sn -3.624 -2.242 2.387
CELL_PARAMETERS angstrom
-3.679 0.186 -1.850
0.610 -6.471 -1.865
-1.737 -0.208 8.026
```


Entry two
Compound: CdAg8Sn2
Source: Alexandria
Functional: PBE
Structure: relaxed Values from VASP.

Output
DOS(E_F) (states/eV/cell): 2.60
Crystal system: orthorhombic
SG: Immm, No. 71

```
&SYSTEM
  ibrav = 0, nat = 11, ntyp = 3
/
ATOMIC_SPECIES
Sn 118.71 Sn.upf
Ag 107.87 Ag.upf
Cd 112.41 Cd.upf
ATOMIC_POSITIONS angstrom
Sn -3.694 -2.784 -0.255
Sn 0.175 -3.497 3.249
Ag -6.206 -2.834 1.344
Ag -2.220 -1.872 2.166
Ag 2.686 -3.446 1.649
Ag -1.300 -4.409 0.828
Ag -1.553 -5.806 3.399
Ag -1.966 -0.475 -0.405
Ag 0.351 -1.989 0.627
Ag -3.871 -4.291 2.366
Cd -0.536 0.530 1.979
CELL_PARAMETERS angstrom
-1.072 1.059 3.959
-8.029 -1.939 -1.655
5.581 -5.401 0.690
```


Which one sits at the bottom of the stability order? entry two does.


Entry one
Compound: Cd3AgSn
Source: Alexandria
Functional: PBE
Structure: relaxed Values from VASP.

Output
DOS(E_F) (states/eV/cell): 1.89
Crystal system: triclinic
SG: P-1, No. 2

```
&SYSTEM
  ibrav = 0, nat = 10, ntyp = 3
/
ATOMIC_SPECIES
Sn 118.71 Sn.upf
Cd 112.41 Cd.upf
Ag 107.87 Ag.upf
ATOMIC_POSITIONS angstrom
Sn -4.671 -2.891 -0.965
Sn -4.121 -7.711 -0.622
Cd -2.421 -0.534 -1.309
Cd -4.531 -3.097 -4.807
Cd -4.261 -7.505 3.220
Cd -6.371 -10.068 -0.278
Cd -4.383 -5.387 -2.824
Cd -4.409 -5.215 1.237
Ag -2.255 -3.212 0.921
Ag -6.537 -7.390 -2.508
CELL_PARAMETERS angstrom
-2.885 0.741 1.085
-4.483 -1.819 -5.593
-1.423 -9.525 2.922
```


Entry two
Compound: Cd3AgSn
Source: Alexandria
Functional: PBE
Structure: relaxed Values from VASP.

Output
DOS(E_F) (states/eV/cell): 3.64
Crystal system: hexagonal
SG: P6_3/mmc, No. 194

```
&SYSTEM
  ibrav = 0, nat = 10, ntyp = 3
/
ATOMIC_SPECIES
Cd 112.41 Cd.upf
Sn 118.71 Sn.upf
Ag 107.87 Ag.upf
ATOMIC_POSITIONS angstrom
Cd -5.741 -0.171 3.457
Cd -1.815 -4.408 2.362
Cd -1.783 -1.688 1.327
Cd -4.877 0.335 0.724
Cd -5.708 2.549 2.422
Cd -2.647 -2.194 4.060
Sn -4.797 -3.079 1.667
Sn -2.726 1.220 3.117
Ag -4.728 5.045 3.194
Ag -2.013 5.361 4.111
CELL_PARAMETERS angstrom
-5.431 -0.632 -1.834
-0.080 -6.588 2.507
-2.013 5.361 4.111
```


Entry three
Compound: Cd3AgSn
Source: Alexandria
Functional: PBE
Structure: relaxed Values from VASP.

Output
DOS(E_F) (states/eV/cell): 2.04
Crystal system: cubic
SG: Pm-3m, No. 221

```
&SYSTEM
  ibrav = 0, nat = 5, ntyp = 3
/
ATOMIC_SPECIES
Cd 112.41 Cd.upf
Ag 107.87 Ag.upf
Sn 118.71 Sn.upf
ATOMIC_POSITIONS angstrom
Cd 2.613 0.000 0.000
Cd 0.000 0.000 2.613
Cd 0.000 2.613 0.000
Ag 0.000 0.000 0.000
Sn 2.613 2.613 2.613
CELL_PARAMETERS angstrom
5.225 0.000 0.000
0.000 5.225 0.000
0.000 0.000 5.225
```


Which one sits at the bottom of the stability order? entry three does.